Material: Eu2SnPb
Method: DFT, PBE-GGA
State: relaxed

Unit cell a=3.623 b=3.623 c=9.297 alpha=90.00 beta=90.00 gamma=90.00
Fractional coordinates of all 4 atoms:
1 Eu 0.000 0.000 0.243
2 Eu 0.000 0.000 0.757
3 Sn 0.500 0.500 0.000
4 Pb 0.500 0.500 0.500

symmetry: P4/mmm (123)
size of the total moment: 13.95 μB/f.u.
electronic total energy: -7.66 eV/atom
ΔE_f: -0.60 eV per atom